The following is a DFT calculation (meta-GGA SCAN) of Zr2Cd3 at its PBEsol-relaxed geometry.

abc: 3.0298 3.0298 39.0475
angles: 90.00 90.00 120.00
Space group R-3m (No. 166, hexagonal axes)
One atom of each set of equivalent atoms:
Zr1 0.0000 0.0000 0.0994 (multiplicity 6)
Cd1 0.0000 0.0000 0.3008 (multiplicity 6)
Cd2 0.0000 0.0000 0.5000 (multiplicity 3)

Properties
total moment = 0.00 μB per formula unit
volume = 103.47 Å³/f.u.
formation energy from the elements = -0.05 eV per atom
crystal system = trigonal
N(E_F) = 0.506 states/eV/atom

---

The following is a DFT calculation (meta-GGA SCAN) of SbSe at its PBEsol-relaxed geometry.

abc: 5.902 5.902 5.902
angles: 90.00 90.00 90.00
Space group Fm-3m (No. 225)
One atom of each set of equivalent atoms:
Sb1 0.000 0.000 0.000 (multiplicity 4)
Se1 0.000 0.000 0.500 (multiplicity 4)

Properties
total moment = 0.00 μB per formula unit
volume = 51.41 Å³/f.u.
crystal system = cubic
formation energy without anion corrections = -8 meV/atom
N(E_F) = 0.653 states/eV/atom

---

The following is a DFT calculation (meta-GGA SCAN) of MgIn2C at its PBEsol-relaxed geometry.

abc: 6.727 6.727 6.727
angles: 90.00 90.00 90.00
Space group Fm-3m (No. 225)
One atom of each set of equivalent atoms:
Mg1 0.000 0.000 0.000 (multiplicity 4)
In1 0.250 0.250 0.250 (multiplicity 8)
C1 0.000 0.000 0.500 (multiplicity 4)

Properties
total moment = 0.00 μB per formula unit
volume = 76.10 Å³/f.u.
formation energy from the elements = 1.28 eV per atom
crystal system = cubic
N(E_F) = 0.499 states/eV/atom

---

The following is a DFT calculation (meta-GGA SCAN) of AlCoPt2 at its PBEsol-relaxed geometry.

abc: 2.744 3.675 5.392
angles: 90.00 90.00 90.00
Space group Pmm2 (No. 25)
One atom of each set of equivalent atoms:
Al1 0.000 0.000 0.000 (multiplicity 1)
Co1 0.500 0.500 0.264 (multiplicity 1)
Pt1 0.000 0.000 0.467 (multiplicity 1)
Pt2 0.500 0.500 0.775 (multiplicity 1)

Properties
total moment = 1.88 μB per formula unit
volume = 54.38 Å³/f.u.
formation energy from the elements = -0.61 eV per atom
crystal system = orthorhombic
N(E_F) = 0.555 states/eV/atom